Version w
Cr2TcCl: optimized geometry, GGA-PBE.

abc: 2.998 2.998 7.065
angles: 90.00 90.00 89.94
Each line ends with the local moment (μB).
Element x y z (fractional)
Cr 0.000 0.000 0.028  3.00
Cr 0.000 0.000 0.472  3.00
Tc 0.500 0.500 0.250  -1.01
Cl 0.500 0.500 0.750  0.01

Summary:
Total magnetic moment ... 1.373 μB/atom
DOS(E_F) ... 4.055 states/eV/f.u.
Space-group type ... P4/mmm



Version x
Cr2TcCl: optimized geometry, GGA-PBE.

abc: 5.479 5.479 5.479
angles: 142.75 142.75 53.71
Each line ends with the local moment (μB).
Element x y z (fractional)
Cr 0.000 0.000 0.000  -2.25
Cr 0.250 0.750 0.500  3.16
Tc 0.500 0.500 0.000  0.45
Cl 0.750 0.250 0.500  -0.02

Summary:
Total magnetic moment ... 0.361 μB/atom
DOS(E_F) ... 4.298 states/eV/f.u.
Space-group type ... I-4m2



Most stable: version w



Version w
Cr2TcCl: optimized geometry, GGA-PBE.

abc: 5.227 5.227 4.058
angles: 89.41 89.41 32.11
Each line ends with the local moment (μB).
Element x y z (fractional)
Cr 0.044 0.044 0.981  -1.55
Cr 0.739 0.739 0.726  2.64
Tc 0.464 0.464 0.559  0.22
Cl 0.254 0.254 0.234  -0.03

Summary:
Total magnetic moment ... 0.345 μB/atom
DOS(E_F) ... 3.318 states/eV/f.u.
Space-group type ... Cm



Version x
Cr2TcCl: optimized geometry, GGA-PBE.

abc: 8.148 8.148 8.148
angles: 19.61 19.61 19.61
Element x y z (fractional)
Cr 0.003 0.003 0.003
Cr 0.497 0.497 0.497
Tc 0.250 0.250 0.250
Cl 0.750 0.750 0.750

Summary:
Total magnetic moment ... 0.000 μB/atom
DOS(E_F) ... 4.732 states/eV/f.u.
Space-group type ... R-3m



Most stable: version x